Material: TcRh2N2
Method: DFT, GGA-PBE
State: relaxed

a b c (Å): 5.545 5.545 3.945
angles (deg): 90.00 90.00 90.00
Element x y z (fractional)
Rh (0.319, 0.181, 0.500)
Rh (0.181, 0.681, 0.500)
Rh (0.819, 0.319, 0.500)
Rh (0.681, 0.819, 0.500)
N (0.188, 0.688, 0.000)
N (0.312, 0.188, 0.000)
N (0.812, 0.312, 0.000)
N (0.688, 0.812, 0.000)
Tc (0.500, 0.500, 0.000)
Tc (0.000, 0.000, 0.000)

Calculated density (g/cm3): 9.1
N(E_F) (states/eV per atom): 0.8599
Uncorrected energy (eV/atom): -8.132